Record 1
# Tl4InBi

Crystalline Tl4InBi at its relaxed geometry (PBE, Alexandria).

Results
DFT formation energy	-0.0053	eV per atom
energy above the most stable polymorph in this dataset	0.0	meV/atom

Cell lengths 4.9327, 6.2120, 7.0323 Å; angles 108.67, 90.00, 113.39 degrees
With the nearest neighbours (Å) after each atom.
Sites, in units of the cell vectors:
Tl (0.3354, 0.6708, 0.1722)  2 In 3.45, 7 Tl 3.50-3.56, 3 Bi 3.56-3.59
Tl (0.6646, 0.3292, 0.8278)  2 In 3.45, 7 Tl 3.50-3.56, 3 Bi 3.56-3.59
Tl (0.3356, 0.6712, 0.6694)  2 Bi 3.46, 7 Tl 3.50-3.56, 3 In 3.55-3.59
Tl (0.6644, 0.3288, 0.3306)  2 Bi 3.46, 7 Tl 3.50-3.56, 3 In 3.55-3.59
In (0.0000, 0.0000, 0.5000)  10 Tl 3.45-3.59, 2 Bi 3.52
Bi (0.0000, 0.0000, 0.0000)  10 Tl 3.46-3.59, 2 In 3.52

=====

Record 2
# Nd3Tm4Mg

Crystalline Nd3Tm4Mg at its relaxed geometry (PBE, Alexandria).

Results
DFT formation energy	0.0013	eV per atom
energy above the most stable polymorph in this dataset	0.0	meV/atom

Cell lengths 6.1970, 7.1615, 11.2823 Å; angles 90.00, 90.00, 90.00 degrees
With the nearest neighbours (Å) after each atom.
Sites, in units of the cell vectors:
Nd (0.4963, 0.6306, 0.0000)  6 Tm 3.46-3.74, 4 Nd 3.48-3.56, 2 Mg 3.57-3.71
Nd (0.1467, 0.6221, 0.2410)  2 Mg 3.44-3.59, 4 Nd 3.48-3.56, 6 Tm 3.49-3.62
Nd (0.6467, 0.3779, 0.2590)  2 Mg 3.44-3.59, 4 Nd 3.48-3.56, 6 Tm 3.49-3.62
Nd (0.9963, 0.3694, 0.5000)  6 Tm 3.46-3.74, 4 Nd 3.48-3.56, 2 Mg 3.57-3.71
Nd (0.6467, 0.3779, 0.7410)  2 Mg 3.44-3.59, 4 Nd 3.48-3.56, 6 Tm 3.49-3.62
Nd (0.1467, 0.6221, 0.7590)  2 Mg 3.44-3.59, 4 Nd 3.48-3.56, 6 Tm 3.49-3.62
Tm (0.9704, 0.8862, 0.0000)  6 Tm 3.41-3.60, 2 Mg 3.42-3.74, 4 Nd 3.46-3.74
Tm (0.4828, 0.1236, 0.0000)  6 Tm 3.47-3.60, 4 Nd 3.53-3.63, 2 Mg 3.54-3.55
Tm (0.1444, 0.1216, 0.2449)  6 Tm 3.41-3.56, 1 Mg 3.41, 5 Nd 3.50-3.62
Tm (0.6444, 0.8784, 0.2551)  6 Tm 3.41-3.56, 1 Mg 3.41, 5 Nd 3.50-3.62
Tm (0.9828, 0.8764, 0.5000)  6 Tm 3.47-3.60, 4 Nd 3.53-3.63, 2 Mg 3.54-3.55
Tm (0.4704, 0.1138, 0.5000)  6 Tm 3.41-3.60, 2 Mg 3.42-3.74, 4 Nd 3.46-3.74
Tm (0.6444, 0.8784, 0.7449)  6 Tm 3.41-3.56, 1 Mg 3.41, 5 Nd 3.50-3.62
Tm (0.1444, 0.1216, 0.7551)  6 Tm 3.41-3.56, 1 Mg 3.41, 5 Nd 3.50-3.62
Mg (0.9836, 0.3641, 0.0000)  6 Tm 3.41-3.74, 6 Nd 3.44-3.71
Mg (0.4836, 0.6359, 0.5000)  6 Tm 3.41-3.74, 6 Nd 3.44-3.71

=====

Record 3
# NaSi2Pt2

Crystalline NaSi2Pt2 at its relaxed geometry (PBE, Alexandria).

Results
energy above the most stable polymorph in this dataset	255.0	meV/atom
E_form (uncorrected)	-0.3721	eV/atom

Cell lengths 7.5130, 7.5130, 2.8222 Å; angles 90.00, 90.00, 90.00 degrees
With the nearest neighbours (Å) after each atom.
Sites, in units of the cell vectors:
Na (0.0000, 0.0000, 0.0000)  2 Na 2.82, 4 Pt 2.91
Na (0.5000, 0.5000, 0.0000)  2 Na 2.82, 4 Pt 2.91
Si (0.1547, 0.6547, 0.5000)  6 Pt 2.60-2.62, 2 Si 2.82
Si (0.6547, 0.8453, 0.5000)  6 Pt 2.60-2.62, 2 Si 2.82
Si (0.8453, 0.3453, 0.5000)  6 Pt 2.60-2.62, 2 Si 2.82
Si (0.3453, 0.1547, 0.5000)  6 Pt 2.60-2.62, 2 Si 2.82
Pt (0.3607, 0.8607, 0.0000)  6 Si 2.60-2.62, 2 Pt 2.82, 2 Na 2.91
Pt (0.8607, 0.6393, 0.0000)  6 Si 2.60-2.62, 2 Pt 2.82, 2 Na 2.91
Pt (0.6393, 0.1393, 0.0000)  6 Si 2.60-2.62, 2 Pt 2.82, 2 Na 2.91
Pt (0.1393, 0.3607, 0.0000)  6 Si 2.60-2.62, 2 Pt 2.82, 2 Na 2.91

=====

Please write out number 1 again, unchanged.
# Tl4InBi

Crystalline Tl4InBi at its relaxed geometry (PBE, Alexandria).

Results
DFT formation energy	-0.0053	eV per atom
energy above the most stable polymorph in this dataset	0.0	meV/atom

Cell lengths 4.9327, 6.2120, 7.0323 Å; angles 108.67, 90.00, 113.39 degrees
With the nearest neighbours (Å) after each atom.
Sites, in units of the cell vectors:
Tl (0.3354, 0.6708, 0.1722)  2 In 3.45, 7 Tl 3.50-3.56, 3 Bi 3.56-3.59
Tl (0.6646, 0.3292, 0.8278)  2 In 3.45, 7 Tl 3.50-3.56, 3 Bi 3.56-3.59
Tl (0.3356, 0.6712, 0.6694)  2 Bi 3.46, 7 Tl 3.50-3.56, 3 In 3.55-3.59
Tl (0.6644, 0.3288, 0.3306)  2 Bi 3.46, 7 Tl 3.50-3.56, 3 In 3.55-3.59
In (0.0000, 0.0000, 0.5000)  10 Tl 3.45-3.59, 2 Bi 3.52
Bi (0.0000, 0.0000, 0.0000)  10 Tl 3.46-3.59, 2 In 3.52

=====

energy above the most stable polymorph in this dataset of number 1 (Tl4InBi)?
0.0 meV/atom